1.
The following is a DFT calculation (PBE-GGA) of crystalline Sn4BiPb4 at its relaxed geometry.

Geometry as CIF:
```
data_Sn4BiPb4
_space_group_name_H-M_alt 'P 1'
_space_group_IT_number 1
_cell_length_a 3.489
_cell_length_b 8.735
_cell_length_c 9.047
_cell_angle_alpha 91.69
_cell_angle_beta 97.24
_cell_angle_gamma 95.56
loop_
_space_group_symop_operation_xyz
'x,y,z'
loop_
_atom_site_label
_atom_site_fract_x
_atom_site_fract_y
_atom_site_fract_z
Sn1 0.109 0.153 0.268
Sn2 0.293 0.836 0.422
Sn3 0.707 0.164 0.578
Sn4 0.891 0.847 0.732
Bi1 0.000 0.500 0.000
Pb1 0.335 0.511 0.669
Pb2 0.370 0.164 0.914
Pb3 0.630 0.836 0.086
Pb4 0.665 0.489 0.331
```

Symmetry: P-1 (2)

***

2.
The following is a DFT calculation (PBE-GGA) of crystalline Fe4CoSe at its relaxed geometry.

Geometry as CIF:
```
data_Fe4CoSe
_space_group_name_H-M_alt 'P 1'
_space_group_IT_number 1
_cell_length_a 4.823
_cell_length_b 4.823
_cell_length_c 4.823
_cell_angle_alpha 60.00
_cell_angle_beta 60.00
_cell_angle_gamma 60.00
loop_
_space_group_symop_operation_xyz
'x,y,z'
loop_
_atom_site_label
_atom_site_fract_x
_atom_site_fract_y
_atom_site_fract_z
Fe1 0.376 0.376 0.376
Fe2 0.376 0.376 0.873
Fe3 0.376 0.873 0.376
Fe4 0.873 0.376 0.376
Co1 0.750 0.750 0.750
Se1 0.000 0.000 0.000
```

Symmetry: F-43m (216)
Formation energy (no corrections) in eV/f.u.: 2.4

***

So what do the calculations give for energy? Going down the list: -34.30 -42.06 eV for the cell shown.
So what do the calculations give for DOS at the Fermi energy? Going down the list: 3.97 7.66 states/eV/f.u..
So what do the calculations give for spin magnetization? Going down the list: 0.00 12.06 μB/f.u..